Material: ZrAsRu
Method: DFT, SCAN
State: single point on PBEsol structure

Magnetic moment: 0.0 μB/cell
DFT total energy: -1.08682 Ha/atom
E_form: -1.002 eV/atom

Lattice parameters (Å, degrees): 6.5540 6.5540 3.8869 90.00 90.00 120.00
Space group P-62m (No. 189)
Asymmetric unit:
Zr 0.0000 0.5823 0.0000 (multiplicity 3)
As 0.0000 0.0000 0.0000 (multiplicity 1)
As 0.3333 0.6667 0.5000 (multiplicity 2)
Ru 0.0000 0.2432 0.5000 (multiplicity 3)

---

Material: TaCoSe2
Method: DFT, SCAN
State: single point on PBEsol structure

Magnetic moment: 0.0 μB/cell
Formation energy without anion corrections: -0.2416 eV/atom
DFT total energy: -1.14852 Ha/atom

Lattice parameters (Å, degrees): 3.237 3.453 12.458 90.00 90.00 90.00
Space group Imm2 (No. 44)
Asymmetric unit:
Ta 0.000 0.000 0.000 (multiplicity 2)
Co 0.000 0.500 0.665 (multiplicity 2)
Se 0.000 0.000 0.398 (multiplicity 2)
Se 0.000 0.500 0.156 (multiplicity 2)

---

Q: Which value of DFT total energy does entry 2 give?
A: -1.14852 Ha/atom

---

Q: Number 1 is which compound?
A: ZrAsRu

---

Q: What is the formula in the second record?
A: TaCoSe2